1.
Dy2HoSn | PBE | optimized geometry

The calculated formation energy is -29.1 kJ/mol of atoms. For the spin magnetization, the calculation gives 0.000 μB per atom. As for the uncorrected energy: -18.99 eV per formula unit.

The space group is P4/mmm (No. 123) and the conventional cell measures 3.558, 3.558 and 9.279 Å, with angles of 90.00, 90.00 and 90.00 degrees. The asymmetric unit holds Dy at (0.000, 0.000, 0.229), Ho at (0.500, 0.500, 0.500) and Sn at (0.500, 0.500, 0.000).

2.
Eu2MgI | PBE | optimized geometry

For the spin magnetization, the calculation gives 3.810 μB per atom. As for the uncorrected energy: -25.90 eV per formula unit. The formation energy (no corrections) is -551 meV per atom.

The space group is P4/mmm (No. 123) and the conventional cell measures 3.959, 3.959 and 8.689 Å, with angles of 90.00, 90.00 and 90.00 degrees. The asymmetric unit holds Eu at (0.000, 0.000, 0.240), Mg at (0.500, 0.500, 0.000) and I at (0.500, 0.500, 0.500).